DFT (GGA-PBE) results for a relaxed Si2TcSb crystal.

abc: 7.522 7.522 7.522
angles: 25.58 25.58 25.58
Positions (direct):
Si  0.000  0.000  0.000
Si  0.261  0.261  0.261
Tc  0.521  0.521  0.521
Sb  0.765  0.765  0.765

Properties
density = 6.6 Mg/m³
uncorrected formation energy = 1.055 eV per formula unit
electronic total energy = -24.3 eV per formula unit